1.
Computed, not measured: ThAl2PtAu2 after structural relaxation at the PBE-GGA level of DFT.

E, eV per formula unit: -30.54

abc: 4.798 4.798 5.633
angles: 90.00 90.00 90.00
Space group P4/mmm (No. 123)
Asymmetric unit:
Th1 0.000 0.000 0.000 x1
Al1 0.000 0.500 0.500 x2
Pt1 0.000 0.000 0.500 x1
Au1 0.500 0.500 0.238 x2

2.
Computed, not measured: AgMoPd2 after structural relaxation at the PBE-GGA level of DFT.

E, eV per formula unit: -24.29

abc: 2.818 2.818 8.018
angles: 90.00 90.00 90.00
Space group P4/mmm (No. 123)
Asymmetric unit:
Ag1 0.000 0.000 0.000 x1
Mo1 0.000 0.000 0.500 x1
Pd1 0.500 0.500 0.264 x2

Calculated formation energy for every record listed, in sequence, given in eV/atom: -0.507, -0.056.
Magnetic moment for every record listed, in sequence, given in μB/atom: 0.000, 0.000.